1.
PrTmRh | PBE | optimized geometry

abc: 4.6881 4.7806 7.0645
angles: 89.94 82.56 90.00
Closest atoms and distances in Å follow each position.
Atoms (fractional coordinates):
Pr (0.2369, 0.2499, 0.1131)  1 Rh 2.81
Pr (0.7631, 0.7501, 0.8869)  1 Rh 2.81
Tm (0.2633, 0.7498, 0.4937)  4 Rh 2.72-2.89
Tm (0.7367, 0.2502, 0.5063)  4 Rh 2.72-2.89
Rh (0.1754, 0.2492, 0.7223)  4 Tm 2.72-2.89, 1 Pr 2.81
Rh (0.8246, 0.7508, 0.2777)  4 Tm 2.72-2.89, 1 Pr 2.81

As for the space group: P-1, No. 2. The value obtained for the magnetization is 0.00 μB per cell. For the electronic total energy, the calculation gives -6.123 eV per atom. The polymorph energy (0 for the lowest one) is 6 meV/atom. The calculation puts the density of states at the Fermi level at 5.3 states/eV per cell.

***

2.
GdHf2Th | PBE | optimized geometry

abc: 4.7331 4.7331 4.7530
angles: 90.00 90.00 90.00
Closest atoms and distances in Å follow each position.
Atoms (fractional coordinates):
Gd (0.0000, 0.0000, 0.0000)  4 Th 3.35, 8 Hf 3.35
Hf (0.0000, 0.5000, 0.5000)  4 Hf 3.35, 4 Th 3.35, 4 Gd 3.35
Hf (0.5000, 0.0000, 0.5000)  4 Hf 3.35, 4 Th 3.35, 4 Gd 3.35
Th (0.5000, 0.5000, 0.0000)  4 Gd 3.35, 8 Hf 3.35

As for the space group: P4/mmm, No. 123. The value obtained for the magnetization is 6.99 μB per cell. For the electronic total energy, the calculation gives -10.173 eV per atom. The polymorph energy (0 for the lowest one) is 0 meV/atom. The calculation puts the density of states at the Fermi level at 5.6 states/eV per cell.

***

3.
Th3GeRh | PBE | optimized geometry

abc: 7.9509 4.0731 8.5146
angles: 90.00 103.31 90.00
Closest atoms and distances in Å follow each position.
Atoms (fractional coordinates):
Th (0.0836, 0.2500, 0.2390)  2 Rh 2.85, 2 Ge 3.18
Th (0.3133, 0.2500, 0.9532)  1 Rh 3.05, 3 Ge 3.11-3.15, 1 Th 3.36
Th (0.3364, 0.7500, 0.5915)  2 Rh 2.92, 3 Ge 3.09-3.15
Th (0.6636, 0.2500, 0.4085)  2 Rh 2.92, 3 Ge 3.09-3.15
Th (0.6867, 0.7500, 0.0468)  1 Rh 3.05, 3 Ge 3.11-3.15, 1 Th 3.36
Th (0.9164, 0.7500, 0.7610)  2 Rh 2.85, 2 Ge 3.18
Ge (0.3897, 0.7500, 0.2361)  8 Th 3.09-3.18
Ge (0.6103, 0.2500, 0.7639)  8 Th 3.09-3.18
Rh (0.0802, 0.2500, 0.6146)  5 Th 2.85-3.05, 2 Rh 2.90
Rh (0.9198, 0.7500, 0.3854)  5 Th 2.85-3.05, 2 Rh 2.90

As for the space group: P2_1/m, No. 11. The value obtained for the magnetization is 0.00 μB per cell. For the electronic total energy, the calculation gives -7.457 eV per atom. The calculation puts the density of states at the Fermi level at 9.8 states/eV per cell.

***

| no. | energy of formation from the pure elements (meV/atom) |
| --- | --- |
| 1 | -589 |
| 2 | 179 |
| 3 | -611 |